Record 1
MgAsPt2 | PBEsol | optimized geometry

Properties
N(E_F) = 2.95 states/eV/cell
magnetic moment = 0.0 μB/cell
ΔH_f (0 K) = -0.4073 eV per atom
symmetry = I4/mmm, No. 139
raw total energy = -22.38 eV for the cell shown

Cell: 4.007 4.014 4.801 Å, 114.71 114.67 90.00°
Element x y z (fractional)
Pt 0.750 0.750 0.501
Pt 0.250 0.250 0.499
As 0.500 0.000 0.000
Mg 0.000 0.500 0.000

---

Record 2
La3Co29Si4B10 | PBEsol | optimized geometry

Properties
N(E_F) = 91.94 states/eV/cell
magnetic moment = 32.3 μB/cell
symmetry = P4/nmm, No. 129
uncorrected formation energy = -0.45 eV/atom
raw total energy = -708.92 eV for the cell shown

Cell: 7.762 11.055 11.055 Å, 90.00 90.00 90.00°
Element x y z (fractional)
B 0.739 0.000 0.244
B 0.739 0.744 0.500
B 0.482 0.185 0.685
B 0.109 0.000 0.500
B 0.518 0.315 0.185
B 0.518 0.685 0.185
B 0.482 0.815 0.315
B 0.518 0.685 0.815
B 0.482 0.185 0.315
B 0.261 0.756 0.000
B 0.891 0.500 0.000
B 0.261 0.500 0.256
B 0.261 0.500 0.744
B 0.739 0.256 0.500
B 0.851 0.000 0.500
B 0.518 0.315 0.815
B 0.482 0.815 0.685
B 0.149 0.500 0.000
B 0.739 0.000 0.756
B 0.261 0.244 0.000
Co 0.252 0.114 0.614
Co 0.663 0.838 0.175
Co 0.252 0.886 0.614
Co 0.525 0.500 0.225
Co 0.889 0.610 0.500
Co 0.028 0.500 0.836
Co 0.663 0.325 0.662
Co 0.337 0.338 0.675
Co 0.337 0.825 0.162
Co 0.663 0.162 0.825
Co 0.889 0.390 0.500
Co 0.475 0.000 0.275
Co 0.475 0.000 0.725
Co 0.698 0.109 0.609
Co 0.525 0.500 0.775
Co 0.475 0.775 0.500
Co 0.468 0.000 0.500
Co 0.028 0.336 0.000
Co 0.889 0.000 0.890
Co 0.663 0.162 0.175
Co 0.252 0.886 0.386
Co 0.972 0.000 0.664
Co 0.111 0.890 0.000
Co 0.302 0.609 0.891
Co 0.337 0.175 0.162
Co 0.972 0.164 0.500
Co 0.302 0.609 0.109
Co 0.337 0.825 0.838
Co 0.252 0.114 0.386
Co 0.663 0.675 0.338
Co 0.302 0.391 0.109
Co 0.532 0.500 0.000
Co 0.337 0.662 0.325
Co 0.302 0.391 0.891
Co 0.972 0.000 0.336
Co 0.525 0.725 0.000
Co 0.663 0.838 0.825
Co 0.698 0.891 0.391
Co 0.475 0.225 0.500
Co 0.748 0.614 0.886
Co 0.028 0.664 0.000
Co 0.663 0.675 0.662
Co 0.111 0.500 0.390
Co 0.337 0.175 0.838
Co 0.748 0.386 0.886
Co 0.972 0.836 0.500
Co 0.111 0.500 0.610
Co 0.028 0.500 0.164
Co 0.698 0.109 0.391
Co 0.111 0.110 0.000
Co 0.748 0.386 0.114
Co 0.698 0.891 0.609
Co 0.525 0.275 0.000
Co 0.337 0.338 0.325
Co 0.663 0.325 0.338
Co 0.337 0.662 0.675
Co 0.748 0.614 0.114
Co 0.889 0.000 0.110
Si 0.824 0.500 0.682
Si 0.176 0.318 0.500
Si 0.824 0.182 0.000
Si 0.176 0.000 0.818
Si 0.176 0.000 0.182
Si 0.824 0.500 0.318
Si 0.824 0.818 0.000
Si 0.176 0.682 0.500
La 0.000 0.750 0.750
La 0.500 0.000 0.000
La 0.000 0.750 0.250
La 0.000 0.250 0.250
La 0.000 0.250 0.750
La 0.500 0.500 0.500

---

Record 3
Mn2ReSb | PBEsol | optimized geometry

Properties
N(E_F) = 3.33 states/eV/cell
magnetic moment = 3.9 μB/cell
symmetry = Cm, No. 8
uncorrected formation energy = 0.33 eV/atom
raw total energy = -36.08 eV for the cell shown

Cell: 2.959 4.564 4.616 Å, 100.96 90.00 108.91°
Element x y z (fractional)
Re 0.511 0.022 0.547
Sb 0.748 0.496 0.230
Mn 0.248 0.497 0.743
Mn 0.993 0.986 0.981

---

Record 4
Sr2AsF | PBEsol | optimized geometry

Properties
N(E_F) = 0.00 states/eV/cell
magnetic moment = 0.0 μB/cell
symmetry = Fm-3m, No. 225
uncorrected formation energy = -1.89 eV/atom
raw total energy = -18.29 eV for the cell shown

Cell: 5.113 5.113 5.113 Å, 60.00 60.00 60.00°
Element x y z (fractional)
Sr 0.250 0.250 0.250
Sr 0.750 0.750 0.750
F 0.000 0.000 0.000
As 0.500 0.500 0.500